Entry 1:
{
  "formula": "ZrAsRh2I",
  "functional": "PBE",
  "state": "relaxed",
  "formation_energy_uncorrected_ev_per_fu": 1.27,
  "lattice": [[4.640, 0.000, 0.000], [0.000, 4.640, 0.000], [0.000, 0.000, 5.137]],
  "species": ["Zr", "As", "Rh", "Rh", "I"],
  "frac_coords": [[0.000, 0.000, 0.000], [0.000, 0.000, 0.500], [0.000, 0.500, 0.500], [0.500, 0.000, 0.500], [0.500, 0.500, 0.000]]
}

---

Entry 2:
{
  "formula": "As2RuI",
  "functional": "PBE",
  "state": "relaxed",
  "formation_energy_uncorrected_ev_per_fu": 3.68,
  "de_polymorph_ev_per_fu": 2.73,
  "lattice": [[0.000, 3.379, 3.379], [3.379, 0.000, 3.379], [3.379, 3.379, 0.000]],
  "species": ["As", "As", "Ru", "I"],
  "frac_coords": [[0.250, 0.250, 0.250], [0.750, 0.750, 0.750], [0.000, 0.000, 0.000], [0.500, 0.500, 0.500]]
}

---

Entry 3:
{
  "formula": "AsRu2I",
  "functional": "PBE",
  "state": "relaxed",
  "formation_energy_uncorrected_ev_per_fu": 2.55,
  "de_polymorph_ev_per_fu": 0.60,
  "lattice": [[0.000, 3.242, 3.242], [3.242, 0.000, 3.242], [3.242, 3.242, 0.000]],
  "species": ["As", "Ru", "Ru", "I"],
  "frac_coords": [[0.000, 0.000, 0.000], [0.250, 0.250, 0.250], [0.750, 0.750, 0.750], [0.500, 0.500, 0.500]]
}

---

Entry 4:
{
  "formula": "As2RuI",
  "functional": "PBE",
  "state": "relaxed",
  "formation_energy_uncorrected_ev_per_fu": 0.95,
  "de_polymorph_ev_per_fu": 0.00,
  "lattice": [[-3.287, 3.287, 5.403], [3.287, -3.287, 5.403], [3.287, 3.287, -5.403]],
  "species": ["As", "As", "As", "As", "Ru", "Ru", "I", "I"],
  "frac_coords": [[0.015, 0.625, 0.890], [0.375, 0.265, 0.390], [0.735, 0.125, 0.110], [0.875, 0.985, 0.610], [0.000, 0.000, 0.000], [0.750, 0.250, 0.500], [0.250, 0.750, 0.500], [0.500, 0.500, 0.000]]
}

---

Entry 5:
{
  "formula": "AsRuI2",
  "functional": "PBE",
  "state": "relaxed",
  "formation_energy_uncorrected_ev_per_fu": 4.03,
  "de_polymorph_ev_per_fu": 3.19,
  "lattice": [[0.000, 3.569, 3.569], [3.569, 0.000, 3.569], [3.569, 3.569, 0.000]],
  "species": ["As", "Ru", "I", "I"],
  "frac_coords": [[0.000, 0.000, 0.000], [0.500, 0.500, 0.500], [0.250, 0.250, 0.250], [0.750, 0.750, 0.750]]
}

---

Entry 6:
{
  "formula": "As3RuI",
  "functional": "PBE",
  "state": "relaxed",
  "formation_energy_uncorrected_ev_per_fu": 2.32,
  "de_polymorph_ev_per_fu": 0.00,
  "lattice": [[4.876, 0.000, 0.000], [0.000, 4.876, 0.000], [0.000, 0.000, 4.876]],
  "species": ["As", "As", "As", "Ru", "I"],
  "frac_coords": [[0.000, 0.000, 0.500], [0.000, 0.500, 0.000], [0.500, 0.000, 0.000], [0.000, 0.000, 0.000], [0.500, 0.500, 0.500]]
}